Entry 1:
Below is a relaxed PrPuAsCl crystal, with properties calculated at the PBE level.

```
PrPuAsCl
1.0
7.262 0.000 0.000
0.000 7.262 0.000
0.000 0.000 7.262
Pr Pu As Cl
4 4 4 4
direct
0.000 0.000 0.000
0.000 0.500 0.500
0.500 0.000 0.500
0.500 0.500 0.000
0.000 0.000 0.500
0.000 0.500 0.000
0.500 0.000 0.000
0.500 0.500 0.500
0.250 0.250 0.750
0.250 0.750 0.250
0.750 0.250 0.250
0.750 0.750 0.750
0.250 0.250 0.250
0.250 0.750 0.750
0.750 0.250 0.750
0.750 0.750 0.250
```

Computed properties:
V: 383 Å³ per cell
E_form (uncorrected): -1.15 eV/atom

=====

Entry 2:
Below is a relaxed Na2GaAuF6 crystal, with properties calculated at the PBE level.

```
Na2GaAuF6
1.0
0.000 4.327 4.327
4.327 0.000 4.327
4.327 4.327 0.000
Na Ga Au F
2 1 1 6
direct
0.250 0.250 0.250
0.750 0.750 0.750
0.000 0.000 0.000
0.500 0.500 0.500
0.221 0.221 0.779
0.221 0.779 0.221
0.221 0.779 0.779
0.779 0.221 0.221
0.779 0.221 0.779
0.779 0.779 0.221
```

Computed properties:
ΔE to the lowest computed polymorph: 173 meV/atom
V: 162 Å³ per cell
E_form (uncorrected): -2.08 eV/atom

=====

Entry 3:
Below is a relaxed ScMo2Pb crystal, with properties calculated at the PBE level.

```
ScMo2Pb
1.0
4.061 0.000 0.000
0.000 4.061 0.000
0.000 0.000 4.521
Sc Mo Pb
1 2 1
direct
0.000 0.000 0.000
0.000 0.500 0.500
0.500 0.000 0.500
0.500 0.500 0.000
```

Computed properties:
Calculated total energy: -30.54 eV for the cell shown
V: 75 Å³ per cell

=====

Entry 4:
Below is a relaxed TiCuAg2Sn crystal, with properties calculated at the PBE level.

```
TiCuAg2Sn
1.0
5.092 0.000 0.000
0.000 5.092 0.000
0.000 0.000 4.701
Ti Cu Ag Sn
1 1 2 1
direct
0.000 0.000 0.000
0.000 0.000 0.500
0.000 0.500 0.000
0.500 0.000 0.000
0.500 0.500 0.500
```

Computed properties:
Calculated total energy: -16.93 eV for the cell shown
V: 122 Å³ per cell

=====

Entry 5:
Below is a relaxed TePbSe4 crystal, with properties calculated at the PBE level.

```
TePbSe4
1.0
0.000 4.177 4.177
4.177 0.000 4.177
4.177 4.177 0.000
Te Pb Se
1 1 4
direct
0.000 0.000 0.000
0.750 0.750 0.750
0.375 0.375 0.375
0.375 0.375 0.876
0.375 0.876 0.375
0.876 0.375 0.375
```

Computed properties:
V: 146 Å³ per cell
E_form (uncorrected): 0.41 eV/atom

=====

Entry 6:
Below is a relaxed Ba2ErH12Rh3 crystal, with properties calculated at the PBE level.

```
Ba2ErH12Rh3
1.0
3.471 2.004 4.786
-3.471 2.004 4.786
0.000 -4.008 4.786
Ba Er H Rh
2 1 12 3
direct
0.118 0.118 0.118
0.882 0.882 0.882
0.500 0.500 0.500
0.111 0.619 0.619
0.216 0.216 0.582
0.216 0.582 0.216
0.381 0.381 0.889
0.381 0.889 0.381
0.418 0.784 0.784
0.582 0.216 0.216
0.619 0.111 0.619
0.619 0.619 0.111
0.784 0.418 0.784
0.784 0.784 0.418
0.889 0.381 0.381
0.000 0.500 0.500
0.500 0.000 0.500
0.500 0.500 0.000
```

Computed properties:
Calculated total energy: -78.81 eV for the cell shown
V: 200 Å³ per cell